Here is InSBr2 after structural relaxation from Alexandria via LeMat-Bulk. Energies are from PBE. Values from VASP.

Computed properties:
Total energy (eV/atom): -3.093
SG: No. 1
Formation energy without anion corrections (eV per formula unit): -2.16
Size of the total moment (μB per formula unit): 0.00
ρ (g/cm³): 3.9
Distance to the lowest polymorph of the same formula (meV/atom): 64

Structure (Quantum ESPRESSO input):
```
&SYSTEM
  ibrav = 0, nat = 8, ntyp = 3
/
ATOMIC_SPECIES
S 32.06 S.upf
Br 79.90 Br.upf
In 114.82 In.upf
ATOMIC_POSITIONS angstrom
S 6.753 3.061 4.081
S 11.066 8.051 4.710
Br 3.941 4.421 2.831
Br 1.723 1.512 0.383
Br 7.655 7.128 2.320
Br 7.993 6.422 5.822
In 4.102 2.445 4.642
In 5.890 2.752 1.642
CELL_PARAMETERS angstrom
6.223 0.001 0.001
3.105 6.511 0.000
2.716 2.526 6.478
```



Here is InSBr2 after structural relaxation from Alexandria via LeMat-Bulk. Energies are from PBE. Values from VASP.

Computed properties:
Total energy (eV/atom): -3.108
SG: No. 1
Formation energy without anion corrections (eV per formula unit): -2.22
Size of the total moment (μB per formula unit): 0.00
ρ (g/cm³): 3.4
Distance to the lowest polymorph of the same formula (meV/atom): 50

Structure (Quantum ESPRESSO input):
```
&SYSTEM
  ibrav = 0, nat = 8, ntyp = 3
/
ATOMIC_SPECIES
S 32.06 S.upf
Br 79.90 Br.upf
In 114.82 In.upf
ATOMIC_POSITIONS angstrom
S -0.418 1.459 4.710
S 0.048 0.887 6.628
Br -1.652 -5.905 1.786
Br -4.179 -3.073 -0.015
Br -0.859 -1.611 1.301
Br -0.459 -2.566 5.031
In -2.919 -2.437 6.019
In 0.199 -0.436 3.270
CELL_PARAMETERS angstrom
-2.188 5.775 3.109
-4.515 -5.064 -1.368
3.881 -4.241 5.286
```